No. 1
AlCrPd3 (SCAN, PBEsol geometry); total moment = 0.682 μB/atom; energy of formation = 0.7606 eV/atom; DFT total energy = -24.13 eV per atom
1.0
4.5279 0.0000 0.0000
0.0000 4.5279 0.0000
0.0000 0.0000 4.5279
Al Cr Pd
1 1 3
direct
0.5000 0.5000 0.5000
0.0000 0.0000 0.0000
0.0000 0.5000 0.0000
0.0000 0.0000 0.5000
0.5000 0.0000 0.0000

=====

No. 2
ReSb2Rh (SCAN, PBEsol geometry); total moment = 0.000 μB/atom; uncorrected formation energy = 190 meV per atom; DFT total energy = -44.66 eV per atom; ΔE to the lowest computed polymorph = 0.000 eV/f.u.
1.0
3.0092 0.0000 0.0000
0.0000 3.0092 0.0000
0.0000 0.0000 8.7877
Re Rh Sb
1 1 2
direct
0.0000 0.0000 0.5329
0.5000 0.5000 0.7173
0.0000 0.0000 0.9303
0.5000 0.5000 0.3195

=====

No. 3
TiFeTcRh2 (SCAN, PBEsol geometry); total moment = 1.046 μB/atom; energy of formation = 0.8767 eV/atom; DFT total energy = -26.48 eV per atom
1.0
4.2164 0.0000 0.0000
0.0000 4.3358 0.0000
0.0000 0.0000 4.3358
Ti Rh Fe Tc
1 2 1 1
direct
0.5000 0.0000 0.0000
0.0000 0.0000 0.5000
0.0000 0.5000 0.0000
0.0000 0.0000 0.0000
0.5000 0.5000 0.5000

=====

No. 4
Sr2SO (SCAN, PBEsol geometry); total moment = 0.000 μB/atom; uncorrected formation energy = -2468 meV per atom; DFT total energy = -17.57 eV per atom; ΔE to the lowest computed polymorph = 0.171 eV/f.u.
1.0
-1.2757 2.5571 -2.7765
-2.9575 1.1440 2.4124
3.3220 4.0131 2.1696
Sr S O
2 1 1
direct
0.5000 0.5000 0.5000
0.0000 0.0000 0.0000
0.0000 0.0000 0.5000
0.5000 0.5000 0.0000